(1)
Below is Ac2Bi3Pb after structural relaxation, with properties calculated at the PBE level.

Geometry as POSCAR:
```
Ac2Bi3Pb
1.0
6.842 0.000 0.000
0.000 9.618 0.002
-3.421 -2.407 7.312
Bi Pb Ac
6 2 4
direct
0.167 0.084 0.335
0.168 0.584 0.335
0.832 0.416 0.665
0.502 0.250 0.000
0.833 0.916 0.665
0.498 0.750 0.000
0.996 0.750 0.000
0.004 0.250 0.000
0.665 0.582 0.329
0.664 0.082 0.329
0.335 0.418 0.671
0.336 0.918 0.671
```

energy of formation = -0.54 eV/atom
SG = C2/c
total DFT energy (no corrections) = -4.47 eV/atom
M_tot = 0.00 μB/f.u.



(2)
Below is ErMg4Cd2 after structural relaxation, with properties calculated at the PBE level.

Geometry as POSCAR:
```
ErMg4Cd2
1.0
4.695 0.000 0.000
0.000 8.391 0.000
0.000 0.000 8.391
Mg Er Cd
8 2 4
direct
0.500 0.397 0.852
0.000 0.648 0.897
0.500 0.603 0.148
0.000 0.897 0.648
0.000 0.352 0.103
0.500 0.852 0.397
0.000 0.103 0.352
0.500 0.148 0.603
0.000 0.500 0.500
0.500 0.000 0.000
0.500 0.703 0.703
0.000 0.797 0.203
0.500 0.297 0.297
0.000 0.203 0.797
```

energy of formation = -0.09 eV/atom
SG = P4_2/mnm
total DFT energy (no corrections) = -1.92 eV/atom
energy above the lowest structure with this stoichiometry = 0.000 eV per atom
M_tot = 0.00 μB/f.u.



(3)
Below is Zr2AsRu after structural relaxation, with properties calculated at the PBE level.

Geometry as POSCAR:
```
Zr2AsRu
1.0
3.401 0.000 0.000
0.000 3.325 0.008
0.000 2.537 6.558
As Ru Zr
1 1 2
direct
0.500 0.250 0.250
0.500 0.750 0.750
0.000 0.474 0.503
0.000 0.026 0.997
```

energy of formation = -0.60 eV/atom
SG = P2/m
total DFT energy (no corrections) = -8.36 eV/atom
M_tot = 0.00 μB/f.u.



(4)
Below is Al3ZnSn after structural relaxation, with properties calculated at the PBE level.

Geometry as POSCAR:
```
Al3ZnSn
1.0
-0.582 -3.631 -3.080
3.612 -2.358 2.097
-3.102 -2.066 3.020
Al Zn Sn
3 1 1
direct
0.000 0.500 0.000
0.000 0.000 0.500
0.500 0.000 0.000
0.000 0.000 0.000
0.500 0.500 0.500
```

energy of formation = 0.43 eV/atom
SG = Pm-3m
total DFT energy (no corrections) = -2.87 eV/atom
energy above the lowest structure with this stoichiometry = 0.000 eV per atom
M_tot = 0.00 μB/f.u.



(5)
Below is Pm3Dy4Th after structural relaxation, with properties calculated at the PBE level.

Geometry as POSCAR:
```
Pm3Dy4Th
1.0
-2.755 1.990 -0.002
-4.515 -6.253 -4.497
-2.078 -2.869 8.195
Pm Dy Th
3 4 1
direct
0.000 0.500 0.000
0.000 0.000 0.500
0.500 0.500 0.500
0.500 0.751 0.249
0.000 0.758 0.758
0.500 0.249 0.751
0.000 0.242 0.242
0.500 0.000 0.000
```

energy of formation = 0.41 eV/atom
SG = Cmmm
total DFT energy (no corrections) = -4.60 eV/atom
M_tot = 0.00 μB/f.u.



(6)
Below is NbOsRh after structural relaxation, with properties calculated at the PBE level.

Geometry as POSCAR:
```
NbOsRh
1.0
2.750 0.000 -0.583
0.000 4.484 0.000
0.149 0.000 7.476
Os Rh Nb
2 2 2
direct
0.225 0.750 0.450
0.775 0.250 0.550
0.439 0.250 0.878
0.561 0.750 0.122
0.893 0.750 0.785
0.107 0.250 0.215
```

energy of formation = -0.21 eV/atom
SG = Cmcm
total DFT energy (no corrections) = -9.76 eV/atom
energy above the lowest structure with this stoichiometry = 0.064 eV per atom
M_tot = 0.00 μB/f.u.



(7)
Below is Sr3LiRh after structural relaxation, with properties calculated at the PBE level.

Geometry as POSCAR:
```
Sr3LiRh
1.0
-1.805 8.813 2.186
-6.449 1.695 2.280
-1.500 1.076 7.275
Li Rh Sr
2 2 6
direct
0.175 0.580 0.976
0.675 0.080 0.976
0.675 0.080 0.317
0.175 0.580 0.317
0.925 0.829 0.607
0.425 0.329 0.607
0.833 0.554 0.373
0.333 0.054 0.373
0.517 0.605 0.005
0.017 0.105 0.005
```

energy of formation = -0.13 eV/atom
SG = Cm
total DFT energy (no corrections) = -2.99 eV/atom
energy above the lowest structure with this stoichiometry = 0.022 eV per atom
M_tot = 0.00 μB/f.u.



(8)
Below is UCu4Pd15 after structural relaxation, with properties calculated at the PBE level.

Geometry as POSCAR:
```
UCu4Pd15
1.0
3.979 0.000 0.000
0.000 3.979 0.000
0.000 0.000 19.330
Pd Cu U
15 4 1
direct
0.500 0.500 0.207
0.500 0.000 0.500
0.500 0.500 0.403
0.500 0.000 0.694
0.000 0.500 0.106
0.500 0.500 0.000
0.000 0.500 0.694
0.500 0.000 0.106
0.500 0.000 0.894
0.000 0.500 0.306
0.000 0.500 0.500
0.000 0.500 0.894
0.500 0.500 0.597
0.500 0.500 0.793
0.500 0.000 0.306
0.000 0.000 0.598
0.000 0.000 0.791
0.000 0.000 0.209
0.000 0.000 0.402
0.000 0.000 0.000
```

energy of formation = -0.16 eV/atom
SG = P4/mmm
total DFT energy (no corrections) = -5.44 eV/atom
M_tot = 1.07 μB/f.u.



(9)
Below is Cr2HgBr after structural relaxation, with properties calculated at the PBE level.

Geometry as POSCAR:
```
Cr2HgBr
1.0
-2.338 1.534 -4.017
-3.039 -1.705 -3.437
-8.047 1.667 -0.418
Br Hg Cr
1 1 2
direct
0.750 0.750 0.750
0.250 0.250 0.250
0.066 0.066 0.073
0.434 0.434 0.427
```

SG = C2/m
total DFT energy (no corrections) = -4.88 eV/atom
energy above the lowest structure with this stoichiometry = 0.168 eV per atom
M_tot = 8.26 μB/f.u.
formation energy (no corrections) = 0.430 eV per atom



(10)
Below is GdHo2Sc after structural relaxation, with properties calculated at the PBE level.

Geometry as POSCAR:
```
GdHo2Sc
1.0
-0.021 -3.259 -4.470
2.682 -4.837 0.091
-2.849 -4.742 0.048
Sc Ho Gd
1 2 1
direct
0.500 0.500 0.500
0.750 0.750 0.750
0.250 0.250 0.250
0.000 0.000 0.000
```

energy of formation = 0.13 eV/atom
SG = Fm-3m
total DFT energy (no corrections) = -7.26 eV/atom
energy above the lowest structure with this stoichiometry = 0.092 eV per atom
M_tot = 8.55 μB/f.u.



(11)
Below is CaCeY after structural relaxation, with properties calculated at the PBE level.

Geometry as POSCAR:
```
CaCeY
1.0
-2.114 0.629 -2.799
-1.998 -2.624 -1.348
-15.211 3.970 10.111
Ca Y Ce
2 2 2
direct
0.696 0.696 0.913
0.304 0.304 0.087
0.243 0.243 0.271
0.757 0.757 0.729
0.859 0.859 0.423
0.141 0.141 0.577
```

energy of formation = 0.19 eV/atom
SG = R-3m
total DFT energy (no corrections) = -4.61 eV/atom
energy above the lowest structure with this stoichiometry = 0.046 eV per atom
M_tot = 0.96 μB/f.u.



(12)
Below is PuZr5Tc4 after structural relaxation, with properties calculated at the PBE level.

Geometry as POSCAR:
```
PuZr5Tc4
1.0
-2.912 1.545 0.000
-1.545 -2.912 -0.080
-0.202 -0.379 17.727
Tc Zr Pu
4 5 1
direct
0.000 0.000 0.218
0.000 0.000 0.593
0.000 0.000 0.407
0.000 0.000 0.782
0.500 0.500 0.500
0.500 0.500 0.868
0.500 0.500 0.315
0.500 0.500 0.685
0.500 0.500 0.132
0.000 0.000 0.000
```

energy of formation = -0.26 eV/atom
SG = P4/mmm
total DFT energy (no corrections) = -10.11 eV/atom
M_tot = 5.99 μB/f.u.



(13)
Below is VGeP2S after structural relaxation, with properties calculated at the PBE level.

Geometry as POSCAR:
```
VGeP2S
1.0
-1.729 -0.407 -4.268
0.668 -4.571 0.165
-4.300 -0.564 1.795
P Ge V S
2 1 1 1
direct
0.000 0.500 0.000
0.500 0.000 0.000
0.000 0.000 0.000
0.500 0.500 0.500
0.000 0.000 0.500
```

SG = P4/mmm
total DFT energy (no corrections) = -4.81 eV/atom
energy above the lowest structure with this stoichiometry = 0.618 eV per atom
M_tot = 2.62 μB/f.u.
formation energy (no corrections) = 0.924 eV per atom



(14)
Below is Ac8Tl2Co after structural relaxation, with properties calculated at the PBE level.

Geometry as POSCAR:
```
Ac8Tl2Co
1.0
-0.238 5.178 0.129
-5.748 -0.128 -5.481
-6.570 -3.090 7.757
Ac Co Tl
8 1 2
direct
0.405 0.496 0.809
0.369 0.991 0.739
0.631 0.009 0.261
0.001 0.776 0.002
0.595 0.504 0.191
0.999 0.224 0.998
0.217 0.309 0.435
0.783 0.691 0.565
0.500 0.000 0.000
0.180 0.755 0.359
0.820 0.245 0.641
```

energy of formation = -0.09 eV/atom
SG = C2/m
total DFT energy (no corrections) = -4.15 eV/atom
M_tot = 0.00 μB/f.u.



(15)
Below is TbCeMg after structural relaxation, with properties calculated at the PBE level.

Geometry as POSCAR:
```
TbCeMg
1.0
3.405 0.000 0.000
0.000 3.405 0.000
-1.702 -1.702 7.420
Tb Ce Mg
1 1 1
direct
0.005 0.005 0.010
0.330 0.330 0.659
0.665 0.665 0.330
```

energy of formation = 0.04 eV/atom
SG = I4mm
total DFT energy (no corrections) = -4.01 eV/atom
energy above the lowest structure with this stoichiometry = 0.000 eV per atom
M_tot = 0.95 μB/f.u.



(16)
Below is BaCa2Sn6 after structural relaxation, with properties calculated at the PBE level.

Geometry as POSCAR:
```
BaCa2Sn6
1.0
4.807 0.000 0.000
2.404 8.662 1.559
2.404 3.980 7.849
Sn Ca Ba
6 2 1
direct
0.193 0.505 0.108
0.807 0.495 0.892
0.193 0.108 0.505
0.807 0.892 0.495
0.000 0.814 0.186
0.000 0.186 0.814
0.618 0.882 0.882
0.382 0.118 0.118
0.500 0.500 0.500
```

energy of formation = -0.44 eV/atom
SG = Immm
total DFT energy (no corrections) = -3.77 eV/atom
M_tot = 0.00 μB/f.u.



(17)
Below is CaLaTeBr after structural relaxation, with properties calculated at the PBE level.

Geometry as POSCAR:
```
CaLaTeBr
1.0
3.978 0.000 0.000
0.000 3.941 0.000
0.000 0.000 14.992
Te Ca La Br
2 2 2 2
direct
0.500 0.000 0.889
0.500 0.500 0.389
0.000 0.000 0.276
0.000 0.500 0.776
0.000 0.500 0.018
0.000 0.000 0.518
0.500 0.500 0.631
0.500 0.000 0.131
```

SG = Amm2
total DFT energy (no corrections) = -4.30 eV/atom
energy above the lowest structure with this stoichiometry = 0.057 eV per atom
M_tot = 0.35 μB/f.u.
formation energy (no corrections) = -1.361 eV per atom



(18)
Below is Te2PdI after structural relaxation, with properties calculated at the PBE level.

Geometry as POSCAR:
```
Te2PdI
1.0
-5.763 -9.614 -13.401
6.910 -1.726 -4.219
3.630 -5.576 4.925
Te Pd I
16 8 8
direct
0.250 0.668 0.168
0.224 0.334 0.390
0.047 0.653 0.730
0.453 0.230 0.153
0.250 0.382 0.882
0.953 0.347 0.270
0.776 0.666 0.610
0.043 0.593 0.243
0.957 0.407 0.757
0.724 0.110 0.166
0.750 0.332 0.832
0.543 0.257 0.907
0.457 0.743 0.093
0.547 0.770 0.847
0.750 0.618 0.118
0.276 0.890 0.834
0.144 0.484 0.054
0.356 0.554 0.984
0.358 0.068 0.993
0.644 0.446 0.016
0.142 0.493 0.568
0.642 0.932 0.007
0.856 0.516 0.946
0.858 0.507 0.432
0.099 0.067 0.637
0.878 0.044 0.811
0.599 0.863 0.433
0.401 0.137 0.567
0.122 0.956 0.189
0.378 0.689 0.456
0.622 0.311 0.544
0.901 0.933 0.363
```

SG = C2/c
total DFT energy (no corrections) = -3.39 eV/atom
M_tot = 0.00 μB/f.u.
formation energy (no corrections) = -0.130 eV per atom



(19)
Below is Pm6Dy2Sc after structural relaxation, with properties calculated at the PBE level.

Geometry as POSCAR:
```
Pm6Dy2Sc
1.0
7.206 0.000 0.000
0.000 6.994 -5.002
0.000 -3.810 14.509
Pm Dy Sc
12 4 2
direct
0.761 0.265 0.057
0.500 0.257 0.669
0.261 0.235 0.443
0.761 0.735 0.943
0.500 0.743 0.331
0.000 0.243 0.831
0.261 0.765 0.557
0.239 0.265 0.057
0.239 0.735 0.943
0.739 0.235 0.443
0.000 0.757 0.169
0.739 0.765 0.557
0.000 0.313 0.275
0.000 0.687 0.725
0.500 0.187 0.225
0.500 0.813 0.775
0.500 0.500 0.000
0.000 0.000 0.500
```

energy of formation = 0.16 eV/atom
SG = C2/m
total DFT energy (no corrections) = -4.73 eV/atom
energy above the lowest structure with this stoichiometry = 0.068 eV per atom
M_tot = 0.00 μB/f.u.



(20)
Below is YMg2Ga4 after structural relaxation, with properties calculated at the PBE level.

Geometry as POSCAR:
```
YMg2Ga4
1.0
-1.776 2.476 4.406
-3.546 -3.938 0.784
2.181 -4.303 6.555
Y Mg Ga
1 2 4
direct
0.000 0.000 0.000
0.606 0.606 0.788
0.394 0.394 0.212
0.798 0.798 0.403
0.500 0.000 0.000
0.000 0.500 0.000
0.202 0.202 0.597
```

energy of formation = 0.36 eV/atom
SG = I4/mmm
total DFT energy (no corrections) = -2.75 eV/atom
energy above the lowest structure with this stoichiometry = 0.702 eV per atom
M_tot = 0.00 μB/f.u.